SmYFe10 | PBE-GGA | relaxed

Output
formation energy = -0.2 eV/f.u.
total moment = 19.78 Bohr magnetons per cell
E_tot = -8.004 eV/atom

a b c (Å): 3.945 5.042 8.705
angles (deg): 90.00 90.00 90.00
Sites, in units of the cell vectors:
Sm1 0.000 0.000 0.000
Y1 0.000 0.500 0.500
Fe1 0.000 0.000 0.335
Fe2 0.000 0.000 0.665
Fe3 0.000 0.500 0.168
Fe4 0.000 0.500 0.832
Fe5 0.500 0.000 0.500
Fe6 0.500 0.251 0.252
Fe7 0.500 0.251 0.748
Fe8 0.500 0.500 0.000
Fe9 0.500 0.749 0.252
Fe10 0.500 0.749 0.748



Sm2ZnFe | PBE-GGA | relaxed

Output
formation energy = 2.2 eV/f.u.
excess energy over the best structure of this formula in the dataset = 586 meV per atom
total moment = 2.47 Bohr magnetons per cell
E_tot = -4.238 eV/atom

a b c (Å): 10.604 10.604 10.604
angles (deg): 17.78 17.78 17.78
Sites, in units of the cell vectors:
Sm1 0.087 0.087 0.087
Sm2 0.913 0.913 0.913
Zn1 0.500 0.500 0.500
Fe1 0.000 0.000 0.000



SmZn11Fe | PBE-GGA | relaxed

Output
formation energy = -1.9 eV/f.u.
total moment = 2.37 Bohr magnetons per cell
E_tot = -2.242 eV/atom

a b c (Å): 6.807 6.807 6.789
angles (deg): 98.17 98.17 135.56
Sites, in units of the cell vectors:
Sm1 0.000 0.000 0.000
Zn1 0.000 0.000 0.500
Zn2 0.000 0.500 0.000
Zn3 0.025 0.370 0.358
Zn4 0.284 0.503 0.777
Zn5 0.370 0.025 0.358
Zn6 0.497 0.716 0.223
Zn7 0.500 0.000 0.000
Zn8 0.503 0.284 0.777
Zn9 0.630 0.975 0.642
Zn10 0.716 0.497 0.223
Zn11 0.975 0.630 0.642
Fe1 0.500 0.500 0.500



SmZn4Fe | PBE-GGA | relaxed

Output
formation energy = -0.5 eV/f.u.
total moment = 1.16 Bohr magnetons per cell
E_tot = -3.122 eV/atom

a b c (Å): 5.194 5.194 5.194
angles (deg): 60.00 60.00 60.00
Sites, in units of the cell vectors:
Sm1 0.000 0.000 0.000
Zn1 0.377 0.377 0.377
Zn2 0.377 0.377 0.870
Zn3 0.377 0.870 0.377
Zn4 0.870 0.377 0.377
Fe1 0.750 0.750 0.750



SmZn9Fe3 | PBE-GGA | relaxed

Output
formation energy = -1.2 eV/f.u.
total moment = 5.70 Bohr magnetons per cell
E_tot = -3.291 eV/atom

a b c (Å): 6.728 6.728 6.712
angles (deg): 97.72 97.72 136.10
Sites, in units of the cell vectors:
Sm1 0.000 0.000 0.000
Zn1 0.024 0.675 0.660
Zn2 0.271 0.500 0.775
Zn3 0.325 0.976 0.340
Zn4 0.500 0.271 0.775
Zn5 0.500 0.500 0.500
Zn6 0.500 0.729 0.225
Zn7 0.675 0.024 0.660
Zn8 0.729 0.500 0.225
Zn9 0.976 0.325 0.340
Fe1 0.000 0.000 0.500
Fe2 0.000 0.500 0.000
Fe3 0.500 0.000 0.000



SmZnFe | PBE-GGA | relaxed

Output
formation energy = -0.3 eV/f.u.
total moment = 2.21 Bohr magnetons per cell
E_tot = -4.922 eV/atom

a b c (Å): 6.376 6.376 5.114
angles (deg): 104.48 104.48 36.01
Sites, in units of the cell vectors:
Sm1 0.121 0.121 0.311
Sm2 0.879 0.879 0.689
Zn1 0.415 0.415 0.230
Zn2 0.585 0.585 0.770
Fe1 0.222 0.222 0.893
Fe2 0.778 0.778 0.107